## Cs2NaVO4 (GGA-PBEsol)

Data for a relaxed structure of Cs2NaVO4.

a b c (Å): 6.043 6.130 8.227
angles (deg): 90.00 93.22 90.00
Positions (direct):
Cs  0.145  0.250  0.181
Cs  0.303  0.750  0.515
Cs  0.697  0.250  0.485
Cs  0.855  0.750  0.819
Na  0.375  0.750  0.028
Na  0.625  0.250  0.972
V  0.202  0.250  0.756
V  0.798  0.750  0.244
O  0.066  0.750  0.183
O  0.197  0.250  0.547
O  0.340  0.023  0.832
O  0.340  0.477  0.832
O  0.660  0.523  0.168
O  0.660  0.977  0.168
O  0.803  0.750  0.453
O  0.934  0.250  0.817

Properties
Theoretical density (g cm⁻³): 4.407
Density of states at the Fermi level (states/eV per cell): 0.0
V (Å³ per cell): 304
VASP energy (eV/atom): -6.43
Formation energy without anion corrections (eV per formula unit): -17.539